This record from Alexandria describes Na2NdAgBi2 after structural relaxation. The functional is PBE-GGA.

Cell lengths 4.6781, 9.4041, 7.9551 Å; angles 90.00, 90.00, 90.00 degrees
Closest atoms and distances in Å follow each position.
Space group Pmc2_1 (No. 26)
Inequivalent atoms, fractional coordinates:
Na 0.0000 0.0683 0.0000 (multiplicity 2)  5 Bi 3.36-3.61, 4 Na 3.51-3.59, 1 Ag 3.75
Na 0.5000 0.1662 0.3215 (multiplicity 2)  4 Bi 3.15-3.18, 2 Na 3.51
Nd 0.5000 0.4468 0.9291 (multiplicity 2)  5 Bi 3.18-3.33, 2 Ag 3.47
Ag 0.0000 0.3217 0.5998 (multiplicity 2)  4 Bi 2.94-3.10
Bi 0.0000 0.3773 0.2162 (multiplicity 2)  2 Ag 2.98-3.10, 2 Na 3.18, 4 Nd 3.33
Bi 0.5000 0.1597 0.7171 (multiplicity 2)  2 Ag 2.94, 2 Na 3.15-3.17, 1 Nd 3.18

Magnetic moment in μB/cell: 0.00
Density of states at the Fermi level in states/eV/f.u.: 0.56
VASP energy in eV for the cell shown: -41.9